## Al3CrFe (PBE-GGA)

Data for crystalline Al3CrFe at its relaxed geometry.

```
5
Lattice="4.365 0.000 0.000 0.000 4.365 0.000 0.000 0.000 4.365" Properties=species:S:1:pos:R:3 pbc="T T T"
Al 0.000 0.000 2.182
Al 0.000 2.182 0.000
Al 2.182 0.000 0.000
Cr 2.182 2.182 2.182
Fe 0.000 0.000 0.000
```

Energy above the lowest structure with this stoichiometry   0 meV per atom
SG   Pm-3m
Density of states at the Fermi level   2.126 states/eV per atom
Energy   -26.03 eV/cell



## AlCrFe6 (PBE-GGA)

Data for crystalline AlCrFe6 at its relaxed geometry.

```
32
Lattice="3.602 -5.110 0.000 3.602 5.110 0.000 0.000 0.000 10.222" Properties=species:S:1:pos:R:3 pbc="T T T"
Al 0.000 0.000 2.523
Al 0.000 0.000 7.700
Al 3.602 2.546 5.111
Al 3.602 -2.546 5.111
Cr 3.602 2.560 0.000
Cr 3.602 0.000 2.533
Cr 3.602 0.000 7.689
Cr 3.602 -2.560 0.000
Fe 0.000 0.000 0.000
Fe 0.000 0.000 5.111
Fe 1.796 1.279 3.819
Fe 1.796 1.279 6.403
Fe 1.826 1.279 1.253
Fe 1.826 1.279 8.969
Fe 3.602 2.548 2.531
Fe 3.602 2.548 7.691
Fe 1.796 -1.279 3.819
Fe 1.796 -1.279 6.403
Fe 1.826 -1.279 1.253
Fe 1.826 -1.279 8.969
Fe 3.602 0.000 0.000
Fe 3.602 0.000 5.111
Fe 5.377 1.279 1.253
Fe 5.377 1.279 8.969
Fe 5.407 1.279 3.819
Fe 5.407 1.279 6.403
Fe 3.602 -2.548 2.531
Fe 3.602 -2.548 7.691
Fe 5.377 -1.279 1.253
Fe 5.377 -1.279 8.969
Fe 5.407 -1.279 3.819
Fe 5.407 -1.279 6.403
```

SG   Cmmm
Density of states at the Fermi level   0.948 states/eV per atom
Energy   -258.81 eV/cell



## AlCrFe2 (PBE-GGA)

Data for crystalline AlCrFe2 at its relaxed geometry.

```
16
Lattice="5.662 0.000 0.000 0.000 5.662 0.000 0.000 0.000 5.662" Properties=species:S:1:pos:R:3 pbc="T T T"
Al 0.000 0.000 0.000
Al 0.000 2.831 2.831
Al 2.831 0.000 2.831
Al 2.831 2.831 0.000
Cr 0.000 0.000 2.831
Cr 0.000 2.831 0.000
Cr 2.831 0.000 0.000
Cr 2.831 2.831 2.831
Fe 1.416 1.416 1.416
Fe 1.416 1.416 4.247
Fe 1.416 4.247 1.416
Fe 1.416 4.247 4.247
Fe 4.247 1.416 1.416
Fe 4.247 1.416 4.247
Fe 4.247 4.247 1.416
Fe 4.247 4.247 4.247
```

Energy above the lowest structure with this stoichiometry   0 meV per atom
SG   Fm-3m
Density of states at the Fermi level   1.245 states/eV per atom
Energy   -123.82 eV/cell



## AlCrFe3 (PBE-GGA)

Data for crystalline AlCrFe3 at its relaxed geometry.

```
5
Lattice="4.180 0.000 0.000 0.000 4.180 0.000 0.000 0.000 4.180" Properties=species:S:1:pos:R:3 pbc="T T T"
Al 0.000 0.000 0.000
Cr 2.090 2.090 2.090
Fe 0.000 2.090 2.090
Fe 2.090 0.000 2.090
Fe 2.090 2.090 0.000
```

Energy above the lowest structure with this stoichiometry   1005 meV per atom
SG   Pm-3m
Density of states at the Fermi level   1.356 states/eV per atom
Energy   -33.75 eV/cell



## Al2CrFe (PBE-GGA)

Data for crystalline Al2CrFe at its relaxed geometry.

```
4
Lattice="2.947 0.000 0.000 0.000 2.947 0.000 0.000 0.000 5.878" Properties=species:S:1:pos:R:3 pbc="T T T"
Al 0.000 0.000 0.000
Al 1.473 1.473 1.764
Cr 0.000 0.000 3.185
Fe 1.473 1.473 4.547
```

SG   P4mm
Density of states at the Fermi level   0.651 states/eV per atom
Energy   -26.12 eV/cell



## Al3CrFe6 (PBE-GGA)

Data for crystalline Al3CrFe6 at its relaxed geometry.

```
20
Lattice="6.971 0.000 0.000 0.000 4.006 0.000 -2.297 0.000 8.195" Properties=species:S:1:pos:R:3 pbc="T T T"
Al -0.584 1.001 3.265
Al 0.561 3.004 1.633
Al -0.547 1.001 8.193
Al 5.220 3.004 0.002
Al 4.112 1.001 6.563
Al 5.257 3.004 4.930
Cr 1.723 1.001 4.945
Cr 2.951 3.004 3.251
Fe -1.679 3.004 7.355
Fe -0.487 1.001 5.705
Fe 0.677 3.004 4.123
Fe 0.586 3.004 6.591
Fe 1.799 1.001 2.541
Fe 2.908 3.004 0.886
Fe 1.766 1.001 7.309
Fe 2.875 3.004 5.655
Fe 4.088 1.001 1.604
Fe 3.997 1.001 4.072
Fe 5.160 3.004 2.491
Fe 6.352 1.001 0.840
```

SG   P2_1/m
Density of states at the Fermi level   0.777 states/eV per atom
Energy   -147.24 eV/cell